(1)
A geometry-optimized La2TeO6 structure. Source: Alexandria via LeMat-Bulk, functional PBE.

```
La2TeO6
1.0
5.554 0.000 0.000
0.000 9.549 0.000
0.000 0.000 10.479
La Te O
8 4 24
Direct
0.024 0.104 0.456
0.030 0.217 0.859
0.470 0.783 0.359
0.476 0.896 0.956
0.524 0.396 0.544
0.530 0.283 0.141
0.970 0.717 0.641
0.976 0.604 0.044
0.039 0.496 0.359
0.461 0.504 0.859
0.539 0.004 0.641
0.961 0.996 0.141
0.073 0.851 0.024
0.168 0.948 0.283
0.177 0.636 0.246
0.199 0.637 0.825
0.220 0.112 0.064
0.244 0.584 0.492
0.256 0.416 0.992
0.280 0.888 0.564
0.301 0.363 0.325
0.323 0.364 0.746
0.332 0.052 0.783
0.427 0.149 0.524
0.573 0.649 0.976
0.668 0.552 0.717
0.677 0.864 0.754
0.699 0.863 0.175
0.720 0.388 0.936
0.744 0.916 0.508
0.756 0.084 0.008
0.780 0.612 0.436
0.801 0.137 0.675
0.823 0.136 0.254
0.832 0.448 0.217
0.927 0.351 0.476
```

Values from the calculation:
- size of the total moment (μB/cell) = 0.00
- space group = P2_12_12_1
- ΔE to the lowest computed polymorph (eV/atom) = 0.000
- formation energy from raw total energies (eV/atom) = -2.54
- uncorrected energy (Ry per atom) = -0.5357



(2)
A geometry-optimized La3TeO7 structure. Source: Alexandria via LeMat-Bulk, functional PBE.

```
La3TeO7
1.0
3.919 -5.594 0.000
3.919 5.594 0.000
0.000 0.000 7.987
La Te O
6 2 14
Direct
0.002 0.002 0.000
0.024 0.500 0.250
0.500 0.024 0.750
0.500 0.976 0.250
0.976 0.500 0.750
0.998 0.998 0.500
0.500 0.500 0.000
0.500 0.500 0.500
0.129 0.871 0.750
0.135 0.865 0.250
0.180 0.428 0.977
0.182 0.430 0.524
0.428 0.180 0.023
0.430 0.182 0.476
0.450 0.550 0.250
0.550 0.450 0.750
0.570 0.818 0.976
0.572 0.820 0.523
0.818 0.570 0.024
0.820 0.572 0.477
0.865 0.135 0.750
0.871 0.129 0.250
```

Values from the calculation:
- size of the total moment (μB/cell) = 0.00
- space group = C222_1
- formation energy from raw total energies (eV/atom) = -2.74
- uncorrected energy (Ry per atom) = -0.5533



(3)
A geometry-optimized La2TeO structure. Source: Alexandria via LeMat-Bulk, functional PBE.

```
La2TeO
1.0
-3.773 3.773 3.891
3.773 -3.773 3.891
3.773 3.773 -3.891
La Te O
4 2 2
Direct
0.020 0.625 0.895
0.375 0.270 0.395
0.730 0.125 0.105
0.875 0.980 0.605
0.250 0.750 0.500
0.500 0.500 0.000
0.000 0.000 0.000
0.750 0.250 0.500
```

Values from the calculation:
- size of the total moment (μB/cell) = 3.76
- space group = I-42d
- ΔE to the lowest computed polymorph (eV/atom) = 0.055
- formation energy from raw total energies (eV/atom) = -2.03
- uncorrected energy (Ry per atom) = -0.4793



(4)
A geometry-optimized La3TeO4 structure. Source: Alexandria via LeMat-Bulk, functional PBE.

```
La3TeO4
1.0
4.095 0.000 0.000
0.000 4.095 0.000
0.000 0.000 10.167
La Te O
3 1 4
Direct
0.000 0.000 0.000
0.500 0.500 0.251
0.500 0.500 0.749
0.000 0.000 0.500
0.000 0.500 0.147
0.000 0.500 0.853
0.500 0.000 0.147
0.500 0.000 0.853
```

Values from the calculation:
- size of the total moment (μB/cell) = 0.00
- space group = P4/mmm
- formation energy from raw total energies (eV/atom) = -3.02
- uncorrected energy (Ry per atom) = -0.5688